# 1
ZrNbFeIr2: optimized geometry, PBE-GGA.

Unit cell a=4.564 b=4.434 c=4.564 alpha=90.00 beta=90.00 gamma=90.00
Fractional positions:
Ir 0.000 0.000 0.500
Ir 0.500 0.000 0.000
Fe 0.000 0.000 0.000
Zr 0.500 0.500 0.500
Nb 0.000 0.500 0.000

Computed properties:
V = 92 Å³ per cell
E = -8.423 eV/atom
ΔE_f = 538 meV/atom

---

# 2
NdFeIr: optimized geometry, PBE-GGA.

Unit cell a=5.357 b=5.357 c=5.357 alpha=91.26 beta=116.27 gamma=122.37
Fractional positions:
Fe 0.500 0.000 0.500
Fe 0.000 0.500 0.500
Nd 0.250 0.124 0.874
Nd 0.750 0.876 0.126
Ir 0.000 0.500 0.000
Ir 0.500 0.500 0.500

Computed properties:
V = 109 Å³ per cell
E = -7.748 eV/atom
ΔE_f = -384 meV/atom

---

# 3
NdFeIr: optimized geometry, PBE-GGA.

Unit cell a=4.998 b=5.662 c=10.082 alpha=83.72 beta=75.65 gamma=63.81
Fractional positions:
Nd 0.152 0.695 0.000
Nd 0.598 0.805 0.500
Nd 0.902 0.195 0.500
Nd 0.848 0.305 0.000
Ir 0.876 0.500 0.248
Ir 0.624 0.500 0.752
Ir 0.874 0.000 0.252
Ir 0.126 0.000 0.748
Fe 0.349 0.500 0.302
Fe 0.401 0.000 0.198
Fe 0.599 0.000 0.802
Fe 0.151 0.500 0.698

Computed properties:
V = 248 Å³ per cell
E = -7.268 eV/atom
ΔE_f = 96 meV/atom

---

# 4
NdFeIr: optimized geometry, PBE-GGA.

Unit cell a=4.240 b=4.126 c=4.126 alpha=120.00 beta=90.00 gamma=90.00
Fractional positions:
Fe 0.167 0.667 0.333
Ir 0.167 0.000 0.000
Nd 0.667 0.333 0.667

Computed properties:
V = 63 Å³ per cell
E = -7.676 eV/atom
ΔE_f = -313 meV/atom

---

# 5
NdFe2Ir3: optimized geometry, PBE-GGA.

Unit cell a=4.047 b=5.290 c=5.298 alpha=119.97 beta=90.00 gamma=90.00
Fractional positions:
Ir 0.500 0.000 0.500
Ir 0.500 0.500 0.000
Ir 0.500 0.500 0.500
Fe 0.000 0.670 0.339
Fe 0.000 0.330 0.661
Nd 0.000 0.000 0.000

Computed properties:
V = 98 Å³ per cell
E = -8.182 eV/atom
ΔE_f = -135 meV/atom

---

# 6
Nd2FeSi3Ir4: optimized geometry, PBE-GGA.

Unit cell a=4.160 b=4.160 c=10.063 alpha=90.00 beta=90.00 gamma=90.00
Fractional positions:
Ir 0.000 0.000 0.000
Ir 0.500 0.000 0.632
Ir 0.000 0.500 0.368
Ir 0.500 0.500 0.000
Si 0.000 0.000 0.500
Si 0.000 0.500 0.128
Si 0.500 0.000 0.872
Fe 0.500 0.500 0.500
Nd 0.500 0.000 0.254
Nd 0.000 0.500 0.746

Computed properties:
V = 174 Å³ per cell
E = -7.859 eV/atom
Raw formation energy = -8.87 eV per formula unit

---

# 7
Fe2NiIr4: optimized geometry, PBE-GGA.

Unit cell a=5.329 b=5.329 c=8.544 alpha=90.00 beta=90.00 gamma=121.76
Fractional positions:
Ir 0.534 0.264 0.500
Ir 0.000 0.500 0.726
Ir 0.000 0.500 0.274
Ir 0.736 0.466 0.000
Ir 0.264 0.534 0.000
Ir 0.466 0.736 0.500
Ir 0.500 0.000 0.226
Ir 0.500 0.000 0.774
Fe 0.786 0.998 0.000
Fe 0.998 0.786 0.500
Fe 0.002 0.214 0.500
Fe 0.214 0.002 0.000
Ni 0.500 0.500 0.250
Ni 0.500 0.500 0.750

Computed properties:
V = 206 Å³ per cell
E = -8.034 eV/atom
ΔE_f = 273 meV/atom

---

# 8
Fe3NiIr3: optimized geometry, PBE-GGA.

Unit cell a=7.250 b=7.250 c=7.250 alpha=90.00 beta=90.00 gamma=90.00
Fractional positions:
Ir 0.171 0.171 0.171
Ir 0.461 0.539 0.039
Ir 0.844 0.344 0.156
Ir 0.829 0.671 0.329
Ir 0.156 0.844 0.344
Ir 0.344 0.156 0.844
Ir 0.039 0.461 0.539
Ir 0.656 0.656 0.656
Ir 0.539 0.039 0.461
Ir 0.961 0.961 0.961
Ir 0.671 0.329 0.829
Ir 0.329 0.829 0.671
Fe 0.863 0.038 0.317
Fe 0.038 0.317 0.863
Fe 0.183 0.137 0.538
Fe 0.538 0.183 0.137
Fe 0.637 0.962 0.817
Fe 0.137 0.538 0.183
Fe 0.817 0.637 0.962
Fe 0.462 0.683 0.363
Fe 0.363 0.462 0.683
Fe 0.683 0.363 0.462
Fe 0.962 0.817 0.637
Fe 0.317 0.863 0.038
Ni 0.367 0.367 0.367
Ni 0.867 0.133 0.633
Ni 0.633 0.867 0.133
Ni 0.133 0.633 0.867

Computed properties:
V = 381 Å³ per cell
E = -8.052 eV/atom
ΔE_f = 199 meV/atom

---

# 9
Fe3NiIr: optimized geometry, PBE-GGA.

Unit cell a=4.231 b=4.231 c=4.231 alpha=90.00 beta=90.00 gamma=90.00
Fractional positions:
Fe 0.000 0.000 0.500
Fe 0.000 0.500 0.000
Fe 0.500 0.000 0.000
Ni 0.000 0.000 0.000
Ir 0.500 0.500 0.500

Computed properties:
V = 76 Å³ per cell
E = -6.952 eV/atom
ΔE_f = 1054 meV/atom

---

# 10
Fe7Ni3Ir: optimized geometry, PBE-GGA.

Unit cell a=2.636 b=10.099 c=10.190 alpha=90.00 beta=90.00 gamma=97.50
Fractional positions:
Ni 0.915 0.830 0.968
Ni 0.915 0.830 0.532
Ni 0.085 0.170 0.468
Ni 0.235 0.471 0.750
Ni 0.085 0.170 0.032
Ni 0.765 0.529 0.250
Ir 0.904 0.808 0.250
Ir 0.096 0.192 0.750
Fe 0.206 0.413 0.411
Fe 0.495 0.990 0.375
Fe 0.620 0.240 0.250
Fe 0.669 0.337 0.908
Fe 0.505 0.010 0.625
Fe 0.206 0.413 0.089
Fe 0.331 0.663 0.408
Fe 0.495 0.990 0.125
Fe 0.331 0.663 0.092
Fe 0.794 0.587 0.589
Fe 0.380 0.760 0.750
Fe 0.794 0.587 0.911
Fe 0.669 0.337 0.592
Fe 0.505 0.010 0.875

Computed properties:
V = 269 Å³ per cell
E = -7.621 eV/atom
ΔE_f = 147 meV/atom

---

# 11
FeNi7Ir2: optimized geometry, PBE-GGA.

Unit cell a=3.843 b=6.900 c=6.900 alpha=55.12 beta=90.01 gamma=89.99
Fractional positions:
Ir 0.500 0.702 0.702
Ir 0.500 0.298 0.298
Ni 0.500 0.084 0.718
Ni 0.000 0.191 0.191
Ni 0.000 0.809 0.809
Ni 0.500 0.916 0.282
Ni 0.500 0.282 0.916
Ni 0.500 0.500 0.500
Ni 0.500 0.718 0.084
Fe 0.000 0.000 0.000

Computed properties:
V = 150 Å³ per cell
E = -6.075 eV/atom
ΔE_f = 591 meV/atom

---

# 12
Fe2Ni7Ir2: optimized geometry, PBE-GGA.

Unit cell a=5.040 b=5.655 c=5.040 alpha=100.82 beta=100.31 gamma=100.82
Fractional positions:
Ir 0.197 0.477 0.197
Ir 0.803 0.523 0.803
Fe 0.720 0.500 0.280
Fe 0.280 0.500 0.720
Ni 0.548 0.830 0.094
Ni 0.407 0.163 0.407
Ni 0.593 0.837 0.593
Ni 0.000 0.000 0.000
Ni 0.906 0.170 0.452
Ni 0.094 0.830 0.548
Ni 0.452 0.170 0.906

Computed properties:
V = 135 Å³ per cell
E = -6.701 eV/atom
ΔE_f = 127 meV/atom

---

- Among the records above, which one has the lowest E?
  ZrNbFeIr2

---

- Number 3 is which compound?
  NdFeIr

---

- Number 11 is which compound?
  FeNi7Ir2

---

- Which of these has the lowest V?
  number 4